## SiSbAs (PBE)

Data for crystalline SiSbAs at its relaxed geometry.

a b c (Å): 3.4325 3.4325 7.3216
angles (deg): 90.00 90.00 120.00
Sites, in units of the cell vectors:
As 0.0000 0.0000 0.8928
Sb 0.6667 0.3333 0.4050
Si 0.3333 0.6667 0.7022

## Properties
**Crystal system**: trigonal
**Energy above the most stable polymorph in this dataset**: 6.0 kJ per mole of atoms
**Energy**: -13.4 eV for the cell shown
**Formation energy from raw total energies**: 0.75 eV/f.u.